# Sb2Ir | OQMD via LeMat-Bulk | PBE | optimized geometry
# - Calculated total energy: -5.77 eV per atom
data_Sb2Ir
_chemical_formula_sum 'Sb8 Ir4'
_symmetry_space_group_name_H-M 'P 1'
_symmetry_Int_Tables_number 1
_cell_length_a 7.133
_cell_length_b 4.349
_cell_length_c 8.644
_cell_angle_alpha 90.00
_cell_angle_beta 90.00
_cell_angle_gamma 90.00
loop_
_symmetry_equiv_pos_as_xyz
'x,y,z'
loop_
_atom_site_label
_atom_site_fract_x
_atom_site_fract_y
_atom_site_fract_z
Sb1 0.024 0.250 0.140
Sb2 0.126 0.750 0.394
Sb3 0.374 0.250 0.894
Sb4 0.476 0.750 0.640
Sb5 0.524 0.250 0.360
Sb6 0.626 0.750 0.106
Sb7 0.874 0.250 0.606
Sb8 0.976 0.750 0.860
Ir1 0.244 0.750 0.075
Ir2 0.256 0.250 0.575
Ir3 0.744 0.750 0.425
Ir4 0.756 0.250 0.925


# SbIr2 | OQMD via LeMat-Bulk | PBE | optimized geometry
# - Calculated total energy: -6.85 eV per atom
data_SbIr2
_chemical_formula_sum 'Sb2 Ir4'
_symmetry_space_group_name_H-M 'P 1'
_symmetry_Int_Tables_number 1
_cell_length_a 5.340
_cell_length_b 5.340
_cell_length_c 5.340
_cell_angle_alpha 60.00
_cell_angle_beta 60.00
_cell_angle_gamma 60.00
loop_
_symmetry_equiv_pos_as_xyz
'x,y,z'
loop_
_atom_site_label
_atom_site_fract_x
_atom_site_fract_y
_atom_site_fract_z
Sb1 0.125 0.125 0.125
Sb2 0.875 0.875 0.875
Ir1 0.000 0.500 0.500
Ir2 0.500 0.000 0.500
Ir3 0.500 0.500 0.000
Ir4 0.500 0.500 0.500


# TmScSb2Ir2 | OQMD via LeMat-Bulk | PBE | optimized geometry
# - Calculated total energy: -6.98 eV per atom
data_TmScSb2Ir2
_chemical_formula_sum 'Tm2 Sc2 Sb4 Ir4'
_symmetry_space_group_name_H-M 'P 1'
_symmetry_Int_Tables_number 1
_cell_length_a 4.543
_cell_length_b 9.082
_cell_length_c 6.431
_cell_angle_alpha 90.00
_cell_angle_beta 90.00
_cell_angle_gamma 90.00
loop_
_symmetry_equiv_pos_as_xyz
'x,y,z'
loop_
_atom_site_label
_atom_site_fract_x
_atom_site_fract_y
_atom_site_fract_z
Tm1 0.000 0.125 0.000
Tm2 0.500 0.875 0.500
Sc1 0.000 0.623 0.001
Sc2 0.500 0.377 0.501
Sb1 0.000 0.130 0.502
Sb2 0.000 0.621 0.497
Sb3 0.500 0.379 0.997
Sb4 0.500 0.870 0.002
Ir1 0.000 0.379 0.746
Ir2 0.000 0.868 0.756
Ir3 0.500 0.132 0.256
Ir4 0.500 0.621 0.246


# SiSb2Ir | OQMD via LeMat-Bulk | PBE | optimized geometry
# - Calculated total energy: -5.07 eV per atom
data_SiSb2Ir
_chemical_formula_sum 'Si1 Sb2 Ir1'
_symmetry_space_group_name_H-M 'P 1'
_symmetry_Int_Tables_number 1
_cell_length_a 4.836
_cell_length_b 4.836
_cell_length_c 4.836
_cell_angle_alpha 60.00
_cell_angle_beta 60.00
_cell_angle_gamma 60.00
loop_
_symmetry_equiv_pos_as_xyz
'x,y,z'
loop_
_atom_site_label
_atom_site_fract_x
_atom_site_fract_y
_atom_site_fract_z
Si1 0.000 0.000 0.000
Sb1 0.500 0.500 0.500
Sb2 0.750 0.750 0.750
Ir1 0.250 0.250 0.250


# SrSiSb3Ir6 | OQMD via LeMat-Bulk | PBE | optimized geometry
# - Calculated total energy: -6.95 eV per atom
data_SrSiSb3Ir6
_chemical_formula_sum 'Sr1 Si1 Sb3 Ir6'
_symmetry_space_group_name_H-M 'P 1'
_symmetry_Int_Tables_number 1
_cell_length_a 7.528
_cell_length_b 7.528
_cell_length_c 4.039
_cell_angle_alpha 90.00
_cell_angle_beta 90.00
_cell_angle_gamma 120.00
loop_
_symmetry_equiv_pos_as_xyz
'x,y,z'
loop_
_atom_site_label
_atom_site_fract_x
_atom_site_fract_y
_atom_site_fract_z
Sr1 0.000 0.000 0.000
Si1 0.333 0.667 0.000
Sb1 0.382 0.191 0.500
Sb2 0.809 0.191 0.500
Sb3 0.809 0.618 0.500
Ir1 0.210 0.421 0.500
Ir2 0.210 0.790 0.500
Ir3 0.522 0.043 0.000
Ir4 0.522 0.478 0.000
Ir5 0.579 0.790 0.500
Ir6 0.957 0.478 0.000


# SnSb2Ir | OQMD via LeMat-Bulk | PBE | optimized geometry
# - Calculated total energy: -4.84 eV per atom
data_SnSb2Ir
_chemical_formula_sum 'Sn1 Sb2 Ir1'
_symmetry_space_group_name_H-M 'P 1'
_symmetry_Int_Tables_number 1
_cell_length_a 5.022
_cell_length_b 5.022
_cell_length_c 5.022
_cell_angle_alpha 60.00
_cell_angle_beta 60.00
_cell_angle_gamma 60.00
loop_
_symmetry_equiv_pos_as_xyz
'x,y,z'
loop_
_atom_site_label
_atom_site_fract_x
_atom_site_fract_y
_atom_site_fract_z
Sn1 0.000 0.000 0.000
Sb1 0.500 0.500 0.500
Sb2 0.750 0.750 0.750
Ir1 0.250 0.250 0.250


# SnSbIr2 | OQMD via LeMat-Bulk | PBE | optimized geometry
# - Calculated total energy: -6.70 eV per atom
data_SnSbIr2
_chemical_formula_sum 'Sn2 Sb2 Ir4'
_symmetry_space_group_name_H-M 'P 1'
_symmetry_Int_Tables_number 1
_cell_length_a 4.014
_cell_length_b 6.652
_cell_length_c 5.790
_cell_angle_alpha 90.00
_cell_angle_beta 90.00
_cell_angle_gamma 90.00
loop_
_symmetry_equiv_pos_as_xyz
'x,y,z'
loop_
_atom_site_label
_atom_site_fract_x
_atom_site_fract_y
_atom_site_fract_z
Sn1 0.000 0.157 0.000
Sn2 0.000 0.843 0.500
Sb1 0.500 0.336 0.598
Sb2 0.500 0.664 0.098
Ir1 0.000 0.462 0.302
Ir2 0.000 0.538 0.802
Ir3 0.500 0.040 0.292
Ir4 0.500 0.960 0.792


# SrSnSbIr2 | OQMD via LeMat-Bulk | PBE | optimized geometry
# - Calculated total energy: -6.00 eV per atom
data_SrSnSbIr2
_chemical_formula_sum 'Sr2 Sn2 Sb2 Ir4'
_symmetry_space_group_name_H-M 'P 1'
_symmetry_Int_Tables_number 1
_cell_length_a 4.480
_cell_length_b 4.480
_cell_length_c 11.171
_cell_angle_alpha 90.00
_cell_angle_beta 90.00
_cell_angle_gamma 90.00
loop_
_symmetry_equiv_pos_as_xyz
'x,y,z'
loop_
_atom_site_label
_atom_site_fract_x
_atom_site_fract_y
_atom_site_fract_z
Sr1 0.250 0.250 0.249
Sr2 0.750 0.750 0.751
Sn1 0.250 0.750 0.500
Sn2 0.750 0.250 0.500
Sb1 0.250 0.250 0.869
Sb2 0.750 0.750 0.131
Ir1 0.250 0.250 0.635
Ir2 0.250 0.750 0.000
Ir3 0.750 0.250 0.000
Ir4 0.750 0.750 0.365


# TaSb2Ir | OQMD via LeMat-Bulk | PBE | optimized geometry
# - Calculated total energy: -6.75 eV per atom
data_TaSb2Ir
_chemical_formula_sum 'Ta1 Sb2 Ir1'
_symmetry_space_group_name_H-M 'P 1'
_symmetry_Int_Tables_number 1
_cell_length_a 4.843
_cell_length_b 4.843
_cell_length_c 4.843
_cell_angle_alpha 60.00
_cell_angle_beta 60.00
_cell_angle_gamma 60.00
loop_
_symmetry_equiv_pos_as_xyz
'x,y,z'
loop_
_atom_site_label
_atom_site_fract_x
_atom_site_fract_y
_atom_site_fract_z
Ta1 0.000 0.000 0.000
Sb1 0.500 0.500 0.500
Sb2 0.750 0.750 0.750
Ir1 0.250 0.250 0.250


# YTaSb2Ir2 | OQMD via LeMat-Bulk | PBE | optimized geometry
# - Calculated total energy: -8.13 eV per atom
data_YTaSb2Ir2
_chemical_formula_sum 'Y2 Ta2 Sb4 Ir4'
_symmetry_space_group_name_H-M 'P 1'
_symmetry_Int_Tables_number 1
_cell_length_a 4.512
_cell_length_b 9.072
_cell_length_c 6.384
_cell_angle_alpha 90.00
_cell_angle_beta 90.00
_cell_angle_gamma 90.00
loop_
_symmetry_equiv_pos_as_xyz
'x,y,z'
loop_
_atom_site_label
_atom_site_fract_x
_atom_site_fract_y
_atom_site_fract_z
Y1 0.000 0.125 0.000
Y2 0.500 0.875 0.500
Ta1 0.000 0.619 0.988
Ta2 0.500 0.381 0.488
Sb1 0.000 0.127 0.505
Sb2 0.000 0.627 0.479
Sb3 0.500 0.373 0.979
Sb4 0.500 0.873 0.005
Ir1 0.000 0.391 0.725
Ir2 0.000 0.850 0.768
Ir3 0.500 0.150 0.268
Ir4 0.500 0.609 0.225


# TcSb2Ir | OQMD via LeMat-Bulk | PBE | optimized geometry
# - Calculated total energy: -6.17 eV per atom
data_TcSb2Ir
_chemical_formula_sum 'Tc1 Sb2 Ir1'
_symmetry_space_group_name_H-M 'P 1'
_symmetry_Int_Tables_number 1
_cell_length_a 4.748
_cell_length_b 4.748
_cell_length_c 4.748
_cell_angle_alpha 60.00
_cell_angle_beta 60.00
_cell_angle_gamma 60.00
loop_
_symmetry_equiv_pos_as_xyz
'x,y,z'
loop_
_atom_site_label
_atom_site_fract_x
_atom_site_fract_y
_atom_site_fract_z
Tc1 0.000 0.000 0.000
Sb1 0.250 0.250 0.250
Sb2 0.500 0.500 0.500
Ir1 0.750 0.750 0.750


# Sb2TeIr | OQMD via LeMat-Bulk | PBE | optimized geometry
# - Calculated total energy: -4.54 eV per atom
data_Sb2TeIr
_chemical_formula_sum 'Sb2 Te1 Ir1'
_symmetry_space_group_name_H-M 'P 1'
_symmetry_Int_Tables_number 1
_cell_length_a 5.034
_cell_length_b 5.034
_cell_length_c 5.034
_cell_angle_alpha 60.00
_cell_angle_beta 60.00
_cell_angle_gamma 60.00
loop_
_symmetry_equiv_pos_as_xyz
'x,y,z'
loop_
_atom_site_label
_atom_site_fract_x
_atom_site_fract_y
_atom_site_fract_z
Sb1 0.000 0.000 0.000
Sb2 0.250 0.250 0.250
Te1 0.500 0.500 0.500
Ir1 0.750 0.750 0.750